A relaxed structure of Ac4Zn2Cd. Source: Alexandria, functional PBE-GGA.

Output
Density = 7.940 Mg/m³
Energy of formation from the pure elements = -142 meV per atom
Energy = -62.7 eV per cell

Lattice parameters (Å, degrees): 5.5798 5.5798 26.7876 90.00 90.00 120.00
Space group R-3m (No. 166, hexagonal axes)
One atom of each set of equivalent atoms:
Ac 0.0000 0.0000 0.1193
Ac 0.0000 0.0000 0.3709
Zn 0.0000 0.0000 0.2479
Cd 0.0000 0.0000 0.5000


A relaxed structure of PuSb2PdO. Source: Alexandria, functional PBE-GGA.

Output
Density = 9.080 Mg/m³
Energy = -77.7 eV per cell

Lattice parameters (Å, degrees): 3.827 3.827 15.236 90.00 90.00 90.00
Space group P4/nmm (No. 129, origin choice 2)
One atom of each set of equivalent atoms:
Pu 0.250 0.250 0.081
Sb 0.250 0.250 0.428
Sb 0.250 0.250 0.785
Pd 0.250 0.250 0.609
O 0.250 0.750 0.000


A relaxed structure of MgAu2. Source: Alexandria, functional PBE-GGA.

Output
Density = 12.873 Mg/m³
Energy of formation from the pure elements = -461 meV per atom
Energy = -38.1 eV per cell

Lattice parameters (Å, degrees): 8.505 4.456 5.755 90.00 98.32 90.00
Space group C2/m (No. 12)
One atom of each set of equivalent atoms:
Mg 0.161 0.000 0.299
Au 0.000 0.500 0.000
Au 0.000 0.500 0.500
Au 0.167 0.000 0.795


A relaxed structure of La3Tb4Dy5. Source: Alexandria, functional PBE-GGA.

Output
Polymorph energy (0 for the lowest one) = 0.247 eV/atom
Density = 7.611 Mg/m³
Energy of formation from the pure elements = 271 meV per atom
Energy = -106.1 eV per cell

Lattice parameters (Å, degrees): 17.944 5.775 8.771 90.00 116.44 90.00
Space group C2/m (No. 12)
One atom of each set of equivalent atoms:
La 0.000 0.000 0.000
La 0.184 0.500 0.229
Tb 0.036 0.500 0.697
Tb 0.209 0.500 0.653
Dy 0.000 0.500 0.000
Dy 0.093 0.000 0.442
Dy 0.161 0.000 0.889


A relaxed structure of Th2GaFeIr6. Source: Alexandria, functional PBE-GGA.

Output
Density = 14.829 Mg/m³
Energy of formation from the pure elements = 89 meV per atom
Energy = -314.4 eV per cell

Lattice parameters (Å, degrees): 9.208 9.208 9.208 90.00 90.00 90.00
Space group Fm-3m (No. 225)
One atom of each set of equivalent atoms:
Th 0.250 0.250 0.250
Ga 0.000 0.000 0.000
Fe 0.000 0.000 0.500
Ir 0.000 0.000 0.251


A relaxed structure of LiPa5Se8. Source: Alexandria, functional PBE-GGA.

Output
Density = 9.363 Mg/m³
Energy = -191.1 eV per cell

Lattice parameters (Å, degrees): 8.510 8.510 8.787 90.00 90.00 90.00
Space group I-4 (No. 82)
One atom of each set of equivalent atoms:
Li 0.000 0.000 0.000
Pa 0.000 0.500 0.750
Pa 0.118 0.253 0.367
Se 0.073 0.316 0.040
Se 0.081 0.179 0.691


A relaxed structure of ErNbV. Source: Alexandria, functional PBE-GGA.

Output
Density = 8.285 Mg/m³
Energy of formation from the pure elements = 234 meV per atom
Energy = -92.2 eV per cell

Lattice parameters (Å, degrees): 3.135 3.135 25.374 90.00 90.00 90.00
Space group I4/mmm (No. 139)
One atom of each set of equivalent atoms:
Er 0.000 0.000 0.069
Nb 0.000 0.000 0.343
V 0.000 0.000 0.224


A relaxed structure of Pb2C. Source: Alexandria, functional PBE-GGA.

Output
Polymorph energy (0 for the lowest one) = 0.237 eV/atom
Density = 9.415 Mg/m³
Energy of formation from the pure elements = 1281 meV per atom
Energy = -51.2 eV per cell

Lattice parameters (Å, degrees): 3.627 6.109 13.574 90.00 90.00 90.00
Space group Fmmm (No. 69)
One atom of each set of equivalent atoms:
Pb 0.000 0.000 0.120
C 0.000 0.000 0.500


> The lowest energy belongs to which entry?

Th2GaFeIr6


> energy of number 3 (MgAu2)?

-38.1 eV per cell


> Look up the density of the fourth one.

7.611 Mg/m³


> Which formula does entry 6 have?

LiPa5Se8